First-principles (meta-GGA SCAN) data for TlCr3F at its PBEsol-relaxed geometry, as listed in Alexandria.

Output
- E: -26.260 eV/atom
- Crystal system: cubic
- Total magnetic moment: 12.41 μB per cell
- E_form (uncorrected): -0.05 eV per atom
- Space group: Pm-3m, No. 221

a = 4.351 Å, b = 4.351 Å, c = 4.351 Å
α = 90.00°, β = 90.00°, γ = 90.00°
Positions (direct):
Tl 0.500 0.500 0.500
F 0.000 0.000 0.000
Cr 0.500 0.000 0.000
Cr 0.000 0.500 0.000
Cr 0.000 0.000 0.500


First-principles (meta-GGA SCAN) data for Tl2ZnCrF at its PBEsol-relaxed geometry, as listed in Alexandria.

Output
- E: -36.445 eV/atom
- Crystal system: tetragonal
- Total magnetic moment: 3.51 μB per cell
- E_form (uncorrected): -0.41 eV per atom
- Space group: P4/mmm, No. 123

a = 3.762 Å, b = 5.466 Å, c = 5.466 Å
α = 90.00°, β = 90.00°, γ = 90.00°
Positions (direct):
F 0.500 0.000 0.000
Cr 0.000 0.000 0.000
Tl 0.000 0.000 0.500
Tl 0.000 0.500 0.000
Zn 0.500 0.500 0.500


First-principles (meta-GGA SCAN) data for Cr2WF at its PBEsol-relaxed geometry, as listed in Alexandria.

Output
- E: -27.094 eV/atom
- Crystal system: cubic
- Total magnetic moment: 5.01 μB per cell
- E_form (uncorrected): 0.41 eV per atom
- Space group: Fm-3m, No. 225

a = 4.190 Å, b = 4.190 Å, c = 4.190 Å
α = 60.00°, β = 60.00°, γ = 60.00°
Positions (direct):
F 0.000 0.000 0.000
W 0.500 0.500 0.500
Cr 0.750 0.750 0.750
Cr 0.250 0.250 0.250


First-principles (meta-GGA SCAN) data for Cr3WF at its PBEsol-relaxed geometry, as listed in Alexandria.

Output
- E: -24.525 eV/atom
- Crystal system: cubic
- Total magnetic moment: 10.66 μB per cell
- E_form (uncorrected): 1.15 eV per atom
- Space group: Pm-3m, No. 221

a = 4.698 Å, b = 4.698 Å, c = 4.698 Å
α = 90.00°, β = 90.00°, γ = 90.00°
Positions (direct):
Cr 0.000 0.500 0.000
Cr 0.000 0.000 0.500
W 0.000 0.000 0.000
F 0.500 0.500 0.500
Cr 0.500 0.000 0.000


Question: Among the records above, which one has the lowest total magnetic moment?
Answer: Tl2ZnCrF


Question: Which of these has the lowest E_form (uncorrected)?
Answer: Tl2ZnCrF


Please write out number 4 again, unchanged.
First-principles (meta-GGA SCAN) data for Cr3WF at its PBEsol-relaxed geometry, as listed in Alexandria.

Output
- E: -24.525 eV/atom
- Crystal system: cubic
- Total magnetic moment: 10.66 μB per cell
- E_form (uncorrected): 1.15 eV per atom
- Space group: Pm-3m, No. 221

a = 4.698 Å, b = 4.698 Å, c = 4.698 Å
α = 90.00°, β = 90.00°, γ = 90.00°
Positions (direct):
Cr 0.000 0.500 0.000
Cr 0.000 0.000 0.500
W 0.000 0.000 0.000
F 0.500 0.500 0.500
Cr 0.500 0.000 0.000


Question: Number 3 is which compound?
Answer: Cr2WF